Here is a relaxed structure of Sr2LaNpS6 from the Alexandria database. Energies are from PBE.

Output
Density ... 4.5 Mg/m³
VASP energy ... -0.467 Ry per atom
Raw formation energy ... -1.76 eV/atom
Spin magnetization ... 0.001 μB per formula unit
N(E_F) ... 7.80 states/eV/f.u.
Crystal system ... monoclinic

The structure in extended XYZ format:
```
20
Lattice="-1.428 6.831 0.960 -0.311 -1.113 7.462 10.080 1.913 0.703" Properties=species:S:1:pos:R:3 pbc="T T T"
Sr 2.193 -0.353 7.071
Sr 6.149 7.985 2.053
Sr 6.626 4.398 5.357
Sr 1.716 3.233 3.767
S 6.595 2.917 7.997
S 1.747 4.714 1.127
S 7.962 6.513 7.359
S 7.374 1.801 4.043
S 4.288 5.610 7.243
S 0.380 1.119 1.765
S 0.001 1.382 5.438
S 4.679 5.396 3.236
S 8.341 6.249 3.686
S 4.054 2.022 1.881
S 0.968 5.831 5.081
S 3.663 2.236 5.888
Np -0.155 -0.557 3.731
Np 4.326 4.372 0.831
La -0.714 3.416 0.480
La 4.885 0.400 4.082
```